<A>
Entry from Alexandria: an optimized crystal structure of Sm3IrPb2 (PBE).

## Properties
**Symmetry**: No. 15
**Theoretical density**: 10.213 g cm⁻³
**Size of the total moment**: 0.0 μB per formula unit

Cell lengths 6.391, 8.154, 7.642 Å; angles 106.33, 114.72, 90.00 degrees
Fractional coordinates of all 12 atoms:
Ir (0.126, 0.750, 0.000)
Sm (0.753, 0.382, 0.693)
Pb (0.539, 0.017, 0.309)
Sm (0.247, 0.618, 0.307)
Sm (0.061, 0.118, 0.307)
Ir (0.874, 0.250, 0.000)
Sm (0.327, 0.250, 0.000)
Pb (0.770, 0.517, 0.309)
Pb (0.230, 0.483, 0.691)
Sm (0.939, 0.882, 0.693)
Pb (0.461, 0.983, 0.691)
Sm (0.673, 0.750, 0.000)

<B>
Entry from Alexandria: an optimized crystal structure of Sm3IrPb2 (PBE).

## Properties
**Symmetry**: No. 62
**Theoretical density**: 10.214 g cm⁻³
**Size of the total moment**: 0.0 μB per formula unit

Cell lengths 4.472, 11.992, 12.825 Å; angles 90.00, 90.00, 90.00 degrees
Fractional coordinates of all 24 atoms:
Sm (0.250, 0.132, 0.555)
Pb (0.750, 0.195, 0.991)
Pb (0.750, 0.501, 0.186)
Sm (0.750, 0.209, 0.253)
Ir (0.250, 0.369, 0.626)
Pb (0.250, 0.805, 0.009)
Pb (0.250, 0.695, 0.509)
Pb (0.750, 0.999, 0.686)
Pb (0.250, 0.001, 0.314)
Sm (0.750, 0.291, 0.753)
Pb (0.750, 0.305, 0.491)
Ir (0.250, 0.131, 0.126)
Sm (0.750, 0.959, 0.118)
Sm (0.750, 0.541, 0.618)
Sm (0.250, 0.368, 0.055)
Pb (0.250, 0.499, 0.814)
Sm (0.250, 0.041, 0.882)
Ir (0.750, 0.631, 0.374)
Sm (0.250, 0.791, 0.747)
Sm (0.250, 0.709, 0.247)
Ir (0.750, 0.869, 0.874)
Sm (0.250, 0.459, 0.382)
Sm (0.750, 0.632, 0.945)
Sm (0.750, 0.868, 0.445)

The structure with the least stability is <A>.

<A>
Entry from Alexandria: an optimized crystal structure of Sm4IrPb (PBE).

## Properties
**Symmetry**: No. 216
**Theoretical density**: 9.571 g cm⁻³
**Size of the total moment**: 0.0 μB per formula unit

Cell lengths 9.941, 9.941, 9.941 Å; angles 60.00, 60.00, 60.00 degrees
Fractional coordinates of all 24 atoms:
Sm (0.561, 0.939, 0.939)
Ir (0.176, 0.608, 0.608)
Sm (0.561, 0.939, 0.561)
Sm (0.561, 0.561, 0.939)
Sm (0.402, 0.402, 0.795)
Ir (0.608, 0.608, 0.608)
Sm (0.402, 0.795, 0.402)
Sm (0.804, 0.196, 0.804)
Sm (0.939, 0.561, 0.561)
Sm (0.939, 0.561, 0.939)
Sm (0.795, 0.402, 0.402)
Ir (0.608, 0.176, 0.608)
Sm (0.402, 0.402, 0.402)
Sm (0.939, 0.939, 0.561)
Sm (0.804, 0.804, 0.196)
Ir (0.608, 0.608, 0.176)
Sm (0.196, 0.804, 0.804)
Pb (0.518, 0.161, 0.161)
Pb (0.161, 0.161, 0.518)
Sm (0.804, 0.196, 0.196)
Pb (0.161, 0.161, 0.161)
Pb (0.161, 0.518, 0.161)
Sm (0.196, 0.804, 0.196)
Sm (0.196, 0.196, 0.804)

<B>
Entry from Alexandria: an optimized crystal structure of Sm4IrPb (PBE).

## Properties
**Symmetry**: No. 15
**Theoretical density**: 9.289 g cm⁻³
**Size of the total moment**: 0.0 μB per formula unit

Cell lengths 6.184, 8.740, 8.288 Å; angles 114.65, 102.55, 107.18 degrees
Fractional coordinates of all 12 atoms:
Sm (0.371, 0.940, 0.656)
Sm (0.053, 0.210, 0.859)
Sm (0.306, 0.648, 0.859)
Sm (0.947, 0.790, 0.141)
Ir (0.251, 0.001, 0.002)
Sm (0.785, 0.716, 0.656)
Sm (0.694, 0.352, 0.141)
Pb (0.622, 0.372, 0.745)
Sm (0.629, 0.060, 0.344)
Sm (0.215, 0.284, 0.344)
Pb (0.378, 0.628, 0.255)
Ir (0.749, 0.999, 0.998)

The structure with the least stability is <B>.

<A>
Entry from Alexandria: an optimized crystal structure of Sn3IrPb (PBE).

## Properties
**Symmetry**: No. 221
**Theoretical density**: 8.817 g cm⁻³
**Size of the total moment**: 0.0 μB per formula unit

Cell lengths 5.221, 5.221, 5.221 Å; angles 90.00, 90.00, 90.00 degrees
Fractional coordinates of all 5 atoms:
Sn (0.000, 0.000, 0.500)
Sn (0.500, 0.000, 0.000)
Pb (0.500, 0.500, 0.500)
Sn (0.000, 0.500, 0.000)
Ir (0.000, 0.000, 0.000)

<B>
Entry from Alexandria: an optimized crystal structure of Sn3IrPb (PBE).

## Properties
**Symmetry**: No. 221
**Theoretical density**: 7.172 g cm⁻³
**Size of the total moment**: 0.0 μB per formula unit

Cell lengths 5.593, 5.593, 5.593 Å; angles 90.00, 90.00, 90.00 degrees
Fractional coordinates of all 5 atoms:
Sn (0.500, 0.000, 0.000)
Sn (0.000, 0.000, 0.500)
Pb (0.000, 0.000, 0.000)
Ir (0.500, 0.500, 0.500)
Sn (0.000, 0.500, 0.000)

The structure with the least stability is <B>.